The following is a DFT calculation (PBE) of SrYMo2 after structural relaxation.

POSCAR file:
```
SrYMo2
1.0
-0.276 -3.962 -0.228
3.892 -0.383 1.937
-2.279 -0.104 4.560
Y Sr Mo
1 1 2
Direct
0.000 0.500 0.500
0.500 0.000 0.500
0.500 0.500 0.000
0.000 0.000 0.000
```

Computed properties:
Space group: Pmmm (47)
DFT formation energy, eV/atom: 1.01
Distance to the lowest polymorph of the same formula, meV/atom: 639
Electronic total energy, eV/atom: -6.44